Record 1
## KBi2Au (PBE)

Data for a relaxed structure of KBi2Au.

a = 5.622 Å, b = 4.919 Å, c = 9.731 Å
α = 90.00°, β = 95.76°, γ = 90.00°
Element x y z (fractional)
K 0.024 0.250 0.184
K 0.976 0.750 0.816
Bi 0.251 0.750 0.474
Bi 0.474 0.750 0.099
Bi 0.526 0.250 0.901
Bi 0.749 0.250 0.526
Au 0.257 0.250 0.634
Au 0.743 0.750 0.366

Output
The total energy comes out at -3.27 eV/atom. Its calculated formation energy is -239 meV/atom. As for the density of states at the Fermi level: 0.41 states/eV/atom. As for the excess energy over the best structure of this formula in the dataset: 0.000 eV/atom. For the magnetization, the calculation gives 0.000 μB/atom.

***

Record 2
## TlCdIn2Pb4 (PBE)

Data for a relaxed structure of TlCdIn2Pb4.

a = 6.123 Å, b = 3.527 Å, c = 11.149 Å
α = 90.00°, β = 100.12°, γ = 90.00°
Element x y z (fractional)
Tl 0.000 0.000 0.000
Cd 0.000 0.500 0.500
In 0.500 0.000 0.500
In 0.500 0.500 0.000
Pb 0.246 0.000 0.741
Pb 0.251 0.500 0.258
Pb 0.749 0.500 0.742
Pb 0.754 0.000 0.259

Output
The total energy comes out at -2.93 eV/atom. Its calculated formation energy is 22 meV/atom. As for the density of states at the Fermi level: 0.42 states/eV/atom. For the magnetization, the calculation gives 0.000 μB/atom.

***

Record 3
## CeU2BeN4 (PBE)

Data for a relaxed structure of CeU2BeN4.

a = 5.848 Å, b = 5.848 Å, c = 11.132 Å
α = 90.00°, β = 90.00°, γ = 145.59°
Element x y z (fractional)
Ce 0.101 0.899 0.750
Ce 0.899 0.101 0.250
U 0.369 0.631 0.555
U 0.369 0.631 0.945
U 0.631 0.369 0.055
U 0.631 0.369 0.445
Be 0.178 0.822 0.250
Be 0.822 0.178 0.750
N 0.000 0.000 0.000
N 0.000 0.000 0.500
N 0.261 0.739 0.126
N 0.261 0.739 0.374
N 0.422 0.578 0.750
N 0.578 0.422 0.250
N 0.739 0.261 0.626
N 0.739 0.261 0.874

Output
The uncorrected formation energy comes out at -1.25 eV per atom. The total energy comes out at -9.45 eV/atom. As for the density of states at the Fermi level: 1.36 states/eV/atom. For the magnetization, the calculation gives 0.507 μB/atom.

***

Record 4
## TlAg2SbBr8 (PBE)

Data for a relaxed structure of TlAg2SbBr8.

a = 6.732 Å, b = 6.954 Å, c = 8.386 Å
α = 90.03°, β = 90.04°, γ = 95.36°
Element x y z (fractional)
Tl 0.000 0.000 0.000
Ag 0.499 0.500 0.247
Ag 0.501 0.500 0.753
Sb 0.000 0.000 0.500
Br 0.220 0.831 0.747
Br 0.220 0.832 0.253
Br 0.276 0.327 0.000
Br 0.277 0.332 0.500
Br 0.723 0.668 0.500
Br 0.724 0.673 0.000
Br 0.780 0.168 0.747
Br 0.780 0.169 0.253

Output
The uncorrected formation energy comes out at -0.44 eV per atom. The total energy comes out at -2.57 eV/atom. As for the density of states at the Fermi level: 0.25 states/eV/atom. For the magnetization, the calculation gives 0.000 μB/atom.

***

Record 5
## NaZnHPd2 (PBE)

Data for a relaxed structure of NaZnHPd2.

a = 4.023 Å, b = 4.023 Å, c = 4.112 Å
α = 90.00°, β = 90.00°, γ = 90.00°
Element x y z (fractional)
Na 0.000 0.000 0.000
Zn 0.500 0.500 0.000
H 0.000 0.000 0.500
Pd 0.000 0.500 0.500
Pd 0.500 0.000 0.500

Output
The total energy comes out at -3.50 eV/atom. As for the density of states at the Fermi level: 0.22 states/eV/atom. As for the excess energy over the best structure of this formula in the dataset: 0.000 eV/atom. For the magnetization, the calculation gives 0.000 μB/atom.

***

Record 6
## BeCdSi2 (PBE)

Data for a relaxed structure of BeCdSi2.

a = 2.706 Å, b = 3.762 Å, c = 6.953 Å
α = 90.00°, β = 98.92°, γ = 90.00°
Element x y z (fractional)
Be 0.000 0.000 0.000
Cd 0.000 0.000 0.500
Si 0.094 0.500 0.184
Si 0.906 0.500 0.816

Output
The uncorrected formation energy comes out at 0.47 eV per atom. The total energy comes out at -3.40 eV/atom. As for the density of states at the Fermi level: 0.21 states/eV/atom. As for the excess energy over the best structure of this formula in the dataset: 0.101 eV/atom. For the magnetization, the calculation gives 0.000 μB/atom.

***

Record 7
## PmThNi2 (PBE)

Data for a relaxed structure of PmThNi2.

a = 7.268 Å, b = 7.268 Å, c = 7.268 Å
α = 31.41°, β = 31.41°, γ = 31.41°
Element x y z (fractional)
Pm 0.000 0.000 0.000
Th 0.172 0.172 0.172
Ni 0.584 0.584 0.584
Ni 0.756 0.756 0.756

Output
The total energy comes out at -6.16 eV/atom. Its calculated formation energy is -231 meV/atom. As for the density of states at the Fermi level: 0.55 states/eV/atom. As for the excess energy over the best structure of this formula in the dataset: 0.163 eV/atom. For the magnetization, the calculation gives 0.000 μB/atom.

***

Record 8
## VZn2Pt (PBE)

Data for a relaxed structure of VZn2Pt.

a = 2.773 Å, b = 2.773 Å, c = 7.476 Å
α = 90.00°, β = 90.00°, γ = 90.00°
Element x y z (fractional)
V 0.000 0.000 0.000
Zn 0.500 0.500 0.254
Zn 0.500 0.500 0.746
Pt 0.000 0.000 0.500

Output
The total energy comes out at -4.62 eV/atom. Its calculated formation energy is -195 meV/atom. As for the density of states at the Fermi level: 0.71 states/eV/atom. As for the excess energy over the best structure of this formula in the dataset: 0.029 eV/atom. For the magnetization, the calculation gives 0.000 μB/atom.